[1]
TlSb2TePd | Alexandria via LeMat-Bulk | GGA-PBEsol | relaxed; spin magnetization = 0.00 Bohr magnetons per cell; density = 6.662 g/cm³; uncorrected energy = -2.990 eV/atom; formation energy without anion corrections = 1.26 eV/atom
1.0
-0.1355 0.5683 -5.4981
5.4647 -0.8120 -0.2186
-0.8346 -5.4703 -0.5448
Te Pd Tl Sb
1 1 1 2
direct
0.0000 0.0000 0.5000
0.5000 0.5000 0.5000
0.0000 0.0000 0.0000
0.0000 0.5000 0.0000
0.5000 0.0000 0.0000

=====

[2]
ZrTiSbPd2 | Alexandria via LeMat-Bulk | GGA-PBEsol | relaxed; spin magnetization = 0.00 Bohr magnetons per cell; density = 7.533 g/cm³; uncorrected energy = -6.366 eV/atom; formation energy without anion corrections = 0.41 eV/atom
1.0
-2.1958 3.0142 2.6432
-0.0863 -3.0486 3.4048
4.3823 1.7337 1.6635
Zr Sb Pd Ti
1 1 2 1
direct
0.0000 0.0000 0.5000
0.5000 0.5000 0.5000
0.5000 0.0000 0.0000
0.0000 0.5000 0.0000
0.0000 0.0000 0.0000

=====

[3]
TlSb2Pd2 | Alexandria via LeMat-Bulk | GGA-PBEsol | relaxed; spin magnetization = 0.00 Bohr magnetons per cell; density = 9.450 g/cm³; uncorrected energy = -4.966 eV/atom; formation energy without anion corrections = -0.23 eV/atom
1.0
4.4771 0.0000 0.0000
0.0000 4.4771 0.0000
-2.2385 -2.2385 5.7925
Pd Sb Tl
2 2 1
direct
0.7500 0.2500 0.5000
0.2500 0.7500 0.5000
0.6305 0.6305 0.2611
0.3695 0.3695 0.7389
0.0000 0.0000 0.0000